Compound: Tb2TiFeO6
Source: the Alexandria database
Functional: PBE with a Hubbard U
Structure: relaxed

## Properties
- Total magnetization: 1.2 μB per formula unit
- Fermi-level density of states: 0.3253 states/eV per atom
- Calculated total energy: -7.78 eV/atom

Structure (CIF):
```
data_Tb2TiFeO6
_cell_length_a 5.3646
_cell_length_b 5.3646
_cell_length_c 4.3017
_cell_angle_alpha 90.00
_cell_angle_beta 90.00
_cell_angle_gamma 90.00
_space_group_name_H-M_alt 'P 4 m m'
_space_group_IT_number 99
_space_group_name_Hall 'P 4 -2'
loop_
_atom_site_label
_atom_site_fract_x
_atom_site_fract_y
_atom_site_fract_z
Tb1 0.0000 0.5000 0.0000
Ti1 0.0000 0.0000 0.5813
Fe1 0.5000 0.5000 0.6419
O1 0.0000 0.0000 0.1596
O2 0.2434 0.2434 0.6918
O3 0.5000 0.5000 0.1520
```